The following is a DFT calculation (PBE) of LiCu4Ni5 after structural relaxation.

a = 3.918 Å, b = 6.058 Å, c = 6.058 Å
α = 85.82°, β = 71.16°, γ = 71.16°
Each line ends with the local moment (μB).
Fractional positions:
Li 0.250 0.000 0.000  -0.01
Ni 0.958 0.100 0.485  0.36
Ni 0.542 0.900 0.515  0.36
Cu 0.250 0.693 0.307  0.01
Cu 0.250 0.307 0.693  0.01
Ni 0.750 0.500 0.500  0.40
Cu 0.010 0.740 0.740  0.01
Ni 0.958 0.485 0.100  0.36
Cu 0.490 0.260 0.260  0.01
Ni 0.542 0.515 0.900  0.36

Output
Its space group is Immm, No. 71. As for the energy above the lowest structure with this stoichiometry: 8 meV per atom. The value obtained for the energy of formation is 0.167 eV per atom. The calculation puts the raw total energy at -4.553 eV per atom.